[1]
# InRu2Cl2 (PBE-GGA, relaxed)
data_InRu2Cl2
_chemical_formula_sum 'In2 Ru4 Cl4'
_space_group_name_H-M_alt 'I 4/m m m'
_space_group_IT_number 139
_space_group_name_Hall '-I 4 2'
_cell_length_a 4.063
_cell_length_b 4.063
_cell_length_c 11.236
_cell_angle_alpha 90.00
_cell_angle_beta 90.00
_cell_angle_gamma 90.00
loop_
_atom_site_label
_atom_site_type_symbol
_atom_site_fract_x
_atom_site_fract_y
_atom_site_fract_z
In1 In 0.000 0.000 0.000
Ru1 Ru 0.000 0.000 0.396
Cl1 Cl 0.000 0.500 0.250
# total DFT energy (no corrections) = -4.51 eV/atom
# formation energy (no corrections) = 0.48 eV/atom
# DOS(E_F) = 0.741 states/eV/atom
# excess energy over the best structure of this formula in the dataset = 0.0000 eV/atom
# crystal system = tetragonal
# M_tot = 0.0000 μB per atom


[2]
# Tb2DyRu3 (PBE-GGA, relaxed)
data_Tb2DyRu3
_chemical_formula_sum 'Tb2 Dy1 Ru3'
_space_group_name_H-M_alt 'P 4/m m m'
_space_group_IT_number 123
_space_group_name_Hall '-P 4 2'
_cell_length_a 3.412
_cell_length_b 3.412
_cell_length_c 10.184
_cell_angle_alpha 90.00
_cell_angle_beta 90.00
_cell_angle_gamma 90.00
loop_
_atom_site_label
_atom_site_type_symbol
_atom_site_fract_x
_atom_site_fract_y
_atom_site_fract_z
Tb1 Tb 0.000 0.000 0.167
Dy1 Dy 0.000 0.000 0.500
Ru1 Ru 0.500 0.500 0.000
Ru2 Ru 0.500 0.500 0.334
# total DFT energy (no corrections) = -7.25 eV/atom
# DOS(E_F) = 0.979 states/eV/atom
# DFT formation energy = -1.822 eV per formula unit
# excess energy over the best structure of this formula in the dataset = 0.0000 eV/atom
# crystal system = tetragonal
# M_tot = 0.0000 μB per atom


[3]
# CaAc2Ag (PBE-GGA, relaxed)
data_CaAc2Ag
_chemical_formula_sum 'Ca3 Ac6 Ag3'
_space_group_name_H-M_alt 'R -3 m'
_space_group_IT_number 166
_space_group_name_Hall '-R 3 2"'
_cell_length_a 3.8472
_cell_length_b 3.8472
_cell_length_c 37.9771
_cell_angle_alpha 90.00
_cell_angle_beta 90.00
_cell_angle_gamma 120.00
loop_
_atom_site_label
_atom_site_type_symbol
_atom_site_fract_x
_atom_site_fract_y
_atom_site_fract_z
Ca1 Ca 0.0000 0.0000 0.0000
Ac1 Ac 0.0000 0.0000 0.4182
Ag1 Ag 0.0000 0.0000 0.5000
# total DFT energy (no corrections) = -2.94 eV/atom
# DOS(E_F) = 1.108 states/eV/atom
# DFT formation energy = 1.297 eV per formula unit
# excess energy over the best structure of this formula in the dataset = 0.4322 eV/atom
# crystal system = trigonal
# M_tot = 0.0000 μB per atom


- Among the records above, which one has the highest excess energy over the best structure of this formula in the dataset?
  CaAc2Ag


- What is the total DFT energy (no corrections) in the first record?
  -4.51 eV/atom


- Which of these has the lowest total DFT energy (no corrections)?
  Tb2DyRu3


- total DFT energy (no corrections) of number 2 (Tb2DyRu3)?
  -7.25 eV/atom